# 1
A geometry-optimized Ac8CoPt3Cl4 structure. Source: Alexandria, functional PBE.

Geometry as extended XYZ:
```
16
Lattice="-7.531 3.869 2.279 -4.699 -5.743 -5.777 5.095 -3.634 6.138" Properties=species:S:1:pos:R:3 pbc="T T T"
Ac -0.060 -6.687 2.444
Ac -2.691 -4.812 -0.724
Ac -0.678 -2.586 2.150
Ac -3.948 -4.689 3.621
Ac -3.186 -0.819 -0.980
Ac -6.457 -2.922 0.490
Ac -4.444 -0.697 3.364
Ac -7.075 1.178 0.196
Co -2.349 -2.872 -2.888
Pt -6.115 -0.937 -1.749
Pt -3.567 -2.754 1.320
Pt 0.198 -4.689 0.181
Cl -3.766 1.934 1.140
Cl -1.218 0.118 4.209
Cl 0.000 0.000 0.000
Cl 2.548 -1.817 3.069
```

Summary:
- Raw total energy: -5.3843 eV per atom
- M_tot: 0.000 μB per formula unit

# 2
A geometry-optimized Tm2PBr3 structure. Source: Alexandria, functional PBE.

Geometry as extended XYZ:
```
12
Lattice="-0.471 -2.497 -3.201 -2.761 -8.555 4.471 -10.315 1.072 -1.927" Properties=species:S:1:pos:R:3 pbc="T T T"
Tm -10.115 -5.115 -2.349
Tm -3.432 -4.866 1.692
Tm -6.498 -3.415 -1.598
Tm -7.049 -6.566 0.941
P -8.502 -4.695 -0.305
P -5.045 -5.285 -0.353
Br -7.993 -0.951 -0.691
Br -5.554 -9.029 0.033
Br -12.360 -6.326 -1.074
Br -1.187 -3.654 0.416
Br -8.956 -8.451 0.082
Br -4.591 -1.530 -0.740
```

Summary:
- Raw total energy: -4.8325 eV per atom
- M_tot: 0.000 μB per formula unit

# 3
A geometry-optimized AcCdPt3Pb structure. Source: Alexandria, functional PBE.

Geometry as extended XYZ:
```
12
Lattice="-6.569 3.955 -1.492 -2.204 -4.738 -2.859 -1.409 0.252 6.873" Properties=species:S:1:pos:R:3 pbc="T T T"
Ac -6.655 1.510 2.627
Ac -3.527 -2.040 -0.105
Cd -4.854 -3.159 2.772
Cd -5.327 2.629 -0.250
Pt -2.367 0.378 1.198
Pt -0.582 -1.252 -0.755
Pt -4.906 -1.509 -2.850
Pt -3.867 0.726 -1.501
Pt -1.621 -3.486 -2.104
Pt -7.815 -0.909 1.325
Pb -3.456 -0.541 3.560
Pb -6.725 0.010 -1.038
```

Summary:
- Formation energy: -397 meV per atom
- M_tot: 0.000 μB per formula unit

# 4
A geometry-optimized ScTa2Au structure. Source: Alexandria, functional PBE.

Geometry as extended XYZ:
```
4
Lattice="3.001 0.000 0.000 0.000 4.461 0.000 0.000 0.000 5.683" Properties=species:S:1:pos:R:3 pbc="T T T"
Au 1.501 2.230 1.421
Sc 1.501 2.230 4.262
Ta 0.000 0.000 5.651
Ta 0.000 0.000 2.873
```

Summary:
- Formation energy: 102 meV per atom
- Polymorph energy (0 for the lowest one): 0.90 eV/f.u.
- M_tot: 0.000 μB per formula unit

# 5
A geometry-optimized YUMn4 structure. Source: Alexandria, functional PBE.

Geometry as extended XYZ:
```
6
Lattice="-2.770 1.800 3.904 -5.092 -0.478 -0.043 -2.291 -3.246 3.221" Properties=species:S:1:pos:R:3 pbc="T T T"
Y 0.000 0.000 0.000
Mn -5.199 0.405 2.824
Mn -3.813 -0.964 4.438
Mn -6.332 -1.200 4.417
Mn -4.962 -2.091 2.486
U -2.538 -0.481 1.771
```

Summary:
- Formation energy: 155 meV per atom
- M_tot: 5.605 μB per formula unit

# 6
A geometry-optimized Pa2HgBiO8 structure. Source: Alexandria, functional PBE.

Geometry as extended XYZ:
```
12
Lattice="-4.469 2.211 3.498 -1.326 -3.671 -4.676 0.452 -4.611 3.492" Properties=species:S:1:pos:R:3 pbc="T T T"
Pa -3.378 -0.184 1.102
Pa -1.964 -5.887 1.212
Hg 0.000 0.000 0.000
Bi 0.226 -2.305 1.746
O -4.709 -4.043 3.158
O -1.626 -4.094 2.691
O -2.819 -2.430 5.043
O -0.633 -2.028 -0.844
O -3.717 -1.976 -0.376
O -2.524 -3.641 -2.729
O -3.231 -1.689 2.242
O -2.112 -4.381 0.072
```

Summary:
- Raw total energy: -7.0022 eV per atom
- M_tot: 1.034 μB per formula unit